No. 1
Y2US5: relaxed, PBE.

Cell lengths 8.602, 7.814, 5.243 Å; angles 79.77, 63.37, 36.86 degrees
Sites, in units of the cell vectors:
Y 0.180 0.180 0.820
Y 0.820 0.820 0.180
U 0.500 0.500 0.500
S 0.000 0.000 0.000
S 0.183 0.510 0.490
S 0.490 0.817 0.183
S 0.510 0.183 0.817
S 0.817 0.490 0.510


No. 2
Ho3Zn3Ag2: relaxed, PBE.

The calculation puts the formation energy at -0.24 eV per atom.

Cell lengths 7.159, 7.159, 3.988 Å; angles 90.00, 90.00, 120.00 degrees
Sites, in units of the cell vectors:
Ho 0.000 0.386 0.000
Ho 0.386 0.000 0.000
Ho 0.614 0.614 0.000
Zn 0.000 0.775 0.500
Zn 0.225 0.225 0.500
Zn 0.775 0.000 0.500
Ag 0.333 0.667 0.500
Ag 0.667 0.333 0.500


No. 3
Pm2Sm3ErS6: relaxed, PBE.

Cell lengths 6.925, 6.925, 6.911 Å; angles 99.59, 99.59, 120.16 degrees
Sites, in units of the cell vectors:
Pm 0.167 0.833 0.000
Pm 0.833 0.167 0.000
Sm 0.000 0.000 0.500
Sm 0.329 0.671 0.500
Sm 0.671 0.329 0.500
Er 0.500 0.500 0.000
S 0.094 0.418 0.754
S 0.259 0.259 0.249
S 0.418 0.094 0.754
S 0.582 0.906 0.246
S 0.741 0.741 0.751
S 0.906 0.582 0.246


no.,uncorrected energy (hartree per atom),M_tot (μB/atom)
1,-0.261,0.227
2,-0.116,0.000
3,-0.236,0.000